Compound: MgAgGe
Source: the Alexandria database
Functional: PBE-GGA
Structure: optimized geometry

## Properties
- E_tot (eV/atom) = -2.989
- ΔE_f (eV per atom) = 0.032

Cell lengths 4.189, 4.189, 6.692 Å; angles 90.00, 90.00, 90.00 degrees
Sites, in units of the cell vectors:
Ge1 0.000 0.500 0.197
Ge2 0.500 0.000 0.803
Mg1 0.000 0.000 0.500
Mg2 0.500 0.500 0.500
Ag1 0.000 0.500 0.803
Ag2 0.500 0.000 0.197